(1)
Material: Nb2CN
Method: DFT, PBE
State: relaxed

Lattice parameters (Å, degrees): 5.6162 5.6162 5.2702 98.02 98.02 127.59
With the nearest neighbours (Å) after each atom.
Fractional positions:
Nb  0.1306  0.3364  0.0115  2 C 2.01-2.22, 2 N 2.09-2.13
Nb  0.3364  0.1306  0.5115  2 C 2.01-2.22, 2 N 2.09-2.13
Nb  0.6636  0.8694  0.4885  2 C 2.01-2.22, 2 N 2.09-2.13
Nb  0.8694  0.6636  0.9885  2 C 2.01-2.22, 2 N 2.09-2.13
C  0.0606  0.9394  0.7500  4 Nb 2.01-2.22
C  0.9394  0.0606  0.2500  4 Nb 2.01-2.22
N  0.2473  0.7527  0.2500  4 Nb 2.09-2.13
N  0.7527  0.2473  0.7500  4 Nb 2.09-2.13

Formation energy (no corrections)   -229 meV per atom
N(E_F)   0.493 states/eV/atom
Offset from the most stable computed form   496 meV/atom
Total energy   -9.651 eV/atom
Size of the total moment   0.00 Bohr magnetons per cell

=====

(2)
Material: SnBSb2
Method: DFT, PBE
State: relaxed

Lattice parameters (Å, degrees): 5.0561 5.0561 5.0561 60.00 60.00 60.00
With the nearest neighbours (Å) after each atom.
Fractional positions:
Sn  0.0000  0.0000  0.0000  8 Sb 3.10
B  0.5000  0.5000  0.5000  8 Sb 3.10
Sb  0.2500  0.2500  0.2500  4 B 3.10, 4 Sn 3.10
Sb  0.7500  0.7500  0.7500  4 B 3.10, 4 Sn 3.10

Formation energy (no corrections)   1019 meV per atom
N(E_F)   0.537 states/eV/atom
Offset from the most stable computed form   621 meV/atom
Total energy   -3.712 eV/atom
Size of the total moment   0.00 Bohr magnetons per cell

=====

(3)
Material: AsICl2
Method: DFT, PBE
State: relaxed

Lattice parameters (Å, degrees): 5.1317 5.1317 5.1317 60.00 60.00 60.00
With the nearest neighbours (Å) after each atom.
Fractional positions:
As  0.0000  0.0000  0.0000  8 Cl 3.14
I  0.5000  0.5000  0.5000  8 Cl 3.14
Cl  0.2500  0.2500  0.2500  4 I 3.14, 4 As 3.14
Cl  0.7500  0.7500  0.7500  4 I 3.14, 4 As 3.14

Formation energy (no corrections)   556 meV per atom
N(E_F)   0.378 states/eV/atom
Offset from the most stable computed form   1070 meV/atom
Total energy   -1.917 eV/atom
Size of the total moment   0.00 Bohr magnetons per cell

=====

(4)
Material: Pa2SnRu
Method: DFT, PBE
State: relaxed

Lattice parameters (Å, degrees): 4.3656 4.3656 4.5108 90.00 90.00 90.00
With the nearest neighbours (Å) after each atom.
Fractional positions:
Pa  0.0000  0.5000  0.0000  4 Pa 3.09, 4 Sn 3.14, 4 Ru 3.14
Pa  0.5000  0.0000  0.0000  4 Pa 3.09, 4 Sn 3.14, 4 Ru 3.14
Sn  0.0000  0.0000  0.5000  4 Ru 3.09, 8 Pa 3.14
Ru  0.5000  0.5000  0.5000  4 Sn 3.09, 8 Pa 3.14

N(E_F)   1.628 states/eV/atom
DFT formation energy   -0.2505 eV per atom
Offset from the most stable computed form   123 meV/atom
Total energy   -8.318 eV/atom
Size of the total moment   0.00 Bohr magnetons per cell

=====

(5)
Material: LiYIr2
Method: DFT, PBE
State: relaxed

Lattice parameters (Å, degrees): 3.4947 3.4947 5.7972 90.00 90.00 90.00
With the nearest neighbours (Å) after each atom.
Fractional positions:
Li  0.0000  0.0000  0.0000  1 Ir 2.46
Y  0.5000  0.5000  0.3015  6 Ir 2.76-3.04, 4 Li 3.03
Ir  0.0000  0.0000  0.5761  1 Li 2.46, 4 Ir 2.73
Ir  0.5000  0.5000  0.7779  4 Ir 2.73, 2 Y 2.76-3.04, 4 Li 2.79

N(E_F)   1.255 states/eV/atom
DFT formation energy   -0.0269 eV per atom
Total energy   -6.552 eV/atom
Size of the total moment   0.19 Bohr magnetons per cell

=====

(6)
Material: SrNbSe2
Method: DFT, PBE
State: relaxed

Lattice parameters (Å, degrees): 8.7551 8.7551 8.7551 29.27 29.27 29.27
With the nearest neighbours (Å) after each atom.
Fractional positions:
Sr  0.0000  0.0000  0.0000  6 Se 3.07
Nb  0.5000  0.5000  0.5000  2 Se 2.48
Se  0.4014  0.4014  0.4014  1 Nb 2.48
Se  0.5986  0.5986  0.5986  1 Nb 2.48

Formation energy (no corrections)   -392 meV per atom
N(E_F)   0.768 states/eV/atom
Offset from the most stable computed form   352 meV/atom
Total energy   -5.072 eV/atom
Size of the total moment   2.40 Bohr magnetons per cell

=====

(7)
Material: ScIr2Br
Method: DFT, PBE
State: relaxed

Lattice parameters (Å, degrees): 5.2734 5.2734 5.2734 136.57 136.57 63.10
With the nearest neighbours (Å) after each atom.
Fractional positions:
Sc  0.0000  0.0000  0.0000  4 Br 2.76, 8 Ir 2.98
Ir  0.2500  0.7500  0.5000  4 Ir 2.76, 4 Br 2.98, 4 Sc 2.98
Ir  0.7500  0.2500  0.5000  4 Ir 2.76, 4 Br 2.98, 4 Sc 2.98
Br  0.5000  0.5000  0.0000  4 Sc 2.76, 8 Ir 2.98

Formation energy (no corrections)   94 meV per atom
N(E_F)   1.095 states/eV/atom
Offset from the most stable computed form   395 meV/atom
Total energy   -6.337 eV/atom
Size of the total moment   0.00 Bohr magnetons per cell

=====

(8)
Material: La2Pm3SmSe6
Method: DFT, PBE
State: relaxed

Lattice parameters (Å, degrees): 7.3383 7.3383 7.3265 99.61 99.61 120.20
With the nearest neighbours (Å) after each atom.
Fractional positions:
La  0.1659  0.8341  0.0000  6 Se 3.02-3.03
La  0.8341  0.1659  0.0000  6 Se 3.02-3.03
Pm  0.0000  0.0000  0.5000  6 Se 2.97-3.00
Pm  0.3314  0.6686  0.5000  6 Se 2.96-2.99
Pm  0.6686  0.3314  0.5000  6 Se 2.96-2.99
Sm  0.5000  0.5000  0.0000  6 Se 2.98
Se  0.0875  0.4159  0.7467  3 Pm 2.96-2.99, 1 Sm 2.98, 2 La 3.02-3.03
Se  0.2578  0.2578  0.2563  3 Pm 2.97-3.00, 1 Sm 2.98, 2 La 3.03
Se  0.4159  0.0875  0.7467  3 Pm 2.96-2.99, 1 Sm 2.98, 2 La 3.02-3.03
Se  0.5841  0.9125  0.2533  3 Pm 2.96-2.99, 1 Sm 2.98, 2 La 3.02-3.03
Se  0.7422  0.7422  0.7437  3 Pm 2.97-3.00, 1 Sm 2.98, 2 La 3.03
Se  0.9125  0.5841  0.2533  3 Pm 2.96-2.99, 1 Sm 2.98, 2 La 3.02-3.03

Formation energy (no corrections)   -1891 meV per atom
N(E_F)   0.512 states/eV/atom
Total energy   -6.035 eV/atom
Size of the total moment   0.00 Bohr magnetons per cell